! CoHO3 | the Alexandria database | GGA+U | optimized geometry; values from VASP
&SYSTEM
  ibrav = 0, nat = 5, ntyp = 3
/
ATOMIC_SPECIES
H 1.01 H.upf
O 16.00 O.upf
Co 58.93 Co.upf
CELL_PARAMETERS angstrom
3.695 0.000 0.000
0.000 3.695 0.000
0.000 0.000 3.695
ATOMIC_POSITIONS crystal
H 0.500 0.500 0.500
O 0.500 0.000 0.000
O 0.000 0.500 0.000
O 0.000 0.000 0.500
Co 0.000 0.000 0.000
! VASP energy ... -4.124 eV/atom



! Co2HO | the Alexandria database | GGA+U | optimized geometry; values from VASP
&SYSTEM
  ibrav = 0, nat = 4, ntyp = 3
/
ATOMIC_SPECIES
H 1.01 H.upf
Co 58.93 Co.upf
O 16.00 O.upf
CELL_PARAMETERS angstrom
0.000 2.619 2.619
2.619 0.000 2.619
2.619 2.619 0.000
ATOMIC_POSITIONS crystal
H 0.000 0.000 0.000
Co 0.750 0.750 0.750
Co 0.250 0.250 0.250
O 0.500 0.500 0.500
! VASP energy ... -4.326 eV/atom



! Co2HO | the Alexandria database | GGA+U | optimized geometry; values from VASP
&SYSTEM
  ibrav = 0, nat = 8, ntyp = 3
/
ATOMIC_SPECIES
Co 58.93 Co.upf
O 16.00 O.upf
H 1.01 H.upf
CELL_PARAMETERS angstrom
4.349 0.000 0.000
0.000 4.349 0.000
2.174 2.174 4.290
ATOMIC_POSITIONS crystal
Co 0.598 0.125 0.250
Co 0.152 0.625 0.250
Co 0.875 0.848 0.750
Co 0.375 0.402 0.750
O 0.000 0.000 0.000
O 0.750 0.250 0.500
H 0.500 0.500 0.000
H 0.250 0.750 0.500
! VASP energy ... -4.846 eV/atom



! Co3HO | the Alexandria database | GGA+U | optimized geometry; values from VASP
&SYSTEM
  ibrav = 0, nat = 5, ntyp = 3
/
ATOMIC_SPECIES
O 16.00 O.upf
H 1.01 H.upf
Co 58.93 Co.upf
CELL_PARAMETERS angstrom
-1.754 3.194 0.049
-2.156 -1.225 2.670
2.356 1.256 2.479
ATOMIC_POSITIONS crystal
O 0.500 0.500 0.500
H 0.000 0.000 0.000
Co 0.000 0.500 0.000
Co 0.500 0.000 0.000
Co 0.000 0.000 0.500
! VASP energy ... -4.416 eV/atom